1.
# Na5Bi2As5O18 | Alexandria | PBE | optimized geometry
data_Na5Bi2As5O18
_cell_length_a 7.198
_cell_length_b 10.260
_cell_length_c 12.298
_cell_angle_alpha 97.29
_cell_angle_beta 92.23
_cell_angle_gamma 90.92
_space_group_name_H-M_alt 'P -1'
_space_group_IT_number 2
loop_
_space_group_symop_operation_xyz
'x,y,z'
'-x,-y,-z'
loop_
_atom_site_label
_atom_site_type_symbol
_atom_site_fract_x
_atom_site_fract_y
_atom_site_fract_z
_atom_site_occupancy
Na1 Na 0.012 0.063 0.373 1
Na2 Na 0.091 0.221 0.153 1
Na3 Na 0.226 0.875 0.141 1
Na4 Na 0.334 0.390 0.376 1
Na5 Na 0.469 0.729 0.903 1
Bi1 Bi 0.232 0.372 0.894 1
Bi2 Bi 0.330 0.766 0.441 1
As1 As 0.171 0.582 0.661 1
As2 As 0.173 0.267 0.606 1
As3 As 0.226 0.021 0.892 1
As4 As 0.282 0.574 0.158 1
As5 As 0.488 0.062 0.303 1
O1 O 0.007 0.838 0.440 1
O2 O 0.009 0.315 0.334 1
O3 O 0.029 0.993 0.812 1
O4 O 0.065 0.422 0.608 1
O5 O 0.089 0.668 0.141 1
O6 O 0.231 0.175 0.969 1
O7 O 0.247 0.413 0.102 1
O8 O 0.260 0.245 0.733 1
O9 O 0.262 0.894 0.964 1
O10 O 0.270 0.565 0.787 1
O11 O 0.322 0.955 0.340 1
O12 O 0.328 0.911 0.603 1
O13 O 0.330 0.604 0.562 1
O14 O 0.345 0.585 0.296 1
O15 O 0.351 0.253 0.517 1
O16 O 0.395 0.195 0.256 1
O17 O 0.433 0.037 0.816 1
O18 O 0.448 0.645 0.084 1
# Energy relative to the elements, uncorrected: -1.495 eV per atom

=====

2.
# TaBeAsBr2 | Alexandria | PBE | optimized geometry
data_TaBeAsBr2
_cell_length_a 5.126
_cell_length_b 5.126
_cell_length_c 5.104
_cell_angle_alpha 90.00
_cell_angle_beta 90.00
_cell_angle_gamma 90.00
_space_group_name_H-M_alt 'P 4/m m m'
_space_group_IT_number 123
_space_group_name_Hall '-P 4 2'
loop_
_atom_site_label
_atom_site_type_symbol
_atom_site_fract_x
_atom_site_fract_y
_atom_site_fract_z
_atom_site_occupancy
Ta1 Ta 0.000 0.000 0.000 1
Be1 Be 0.500 0.500 0.500 1
As1 As 0.000 0.000 0.500 1
Br1 Br 0.000 0.500 0.000 1
# Energy relative to the elements, uncorrected: 0.568 eV per atom
# Energy above the lowest structure with this stoichiometry: 0.0 meV/atom

=====

3.
# YEr2Pa | Alexandria | PBE | optimized geometry
data_YEr2Pa
_cell_length_a 5.755
_cell_length_b 5.755
_cell_length_c 3.532
_cell_angle_alpha 90.00
_cell_angle_beta 90.00
_cell_angle_gamma 90.00
_space_group_name_H-M_alt 'P 4/m m m'
_space_group_IT_number 123
_space_group_name_Hall '-P 4 2'
loop_
_atom_site_label
_atom_site_type_symbol
_atom_site_fract_x
_atom_site_fract_y
_atom_site_fract_z
_atom_site_occupancy
Y1 Y 0.000 0.000 0.000 1
Er1 Er 0.000 0.500 0.500 1
Pa1 Pa 0.500 0.500 0.000 1
# Formation energy: 6.7 kcal/mol of atoms
# Energy above the lowest structure with this stoichiometry: 180.2 meV/atom

=====

4.
# Tm2Sc2C3 | Alexandria | PBE | optimized geometry
data_Tm2Sc2C3
_cell_length_a 11.750
_cell_length_b 3.514
_cell_length_c 6.019
_cell_angle_alpha 90.00
_cell_angle_beta 105.79
_cell_angle_gamma 90.00
_space_group_name_H-M_alt 'C 1 2/m 1'
_space_group_IT_number 12
loop_
_space_group_symop_operation_xyz
'x,y,z'
'-x,-y,-z'
'-x,y,-z'
'x,-y,z'
'x+1/2,y+1/2,z'
'-x+1/2,-y+1/2,-z'
'-x+1/2,y+1/2,-z'
'x+1/2,-y+1/2,z'
loop_
_atom_site_label
_atom_site_type_symbol
_atom_site_fract_x
_atom_site_fract_y
_atom_site_fract_z
_atom_site_occupancy
Tm1 Tm 0.122 0.000 0.379 1
Sc1 Sc 0.155 0.500 0.842 1
C1 C 0.000 0.500 0.500 1
C2 C 0.238 0.500 0.234 1
# Formation energy: -8.5 kcal/mol of atoms

=====

5.
# ScAlHg2Ru | Alexandria | PBE | optimized geometry
data_ScAlHg2Ru
_cell_length_a 5.272
_cell_length_b 5.272
_cell_length_c 5.235
_cell_angle_alpha 90.00
_cell_angle_beta 90.00
_cell_angle_gamma 90.00
_space_group_name_H-M_alt 'P 4/m m m'
_space_group_IT_number 123
_space_group_name_Hall '-P 4 2'
loop_
_atom_site_label
_atom_site_type_symbol
_atom_site_fract_x
_atom_site_fract_y
_atom_site_fract_z
_atom_site_occupancy
Sc1 Sc 0.000 0.000 0.000 1
Al1 Al 0.000 0.000 0.500 1
Hg1 Hg 0.000 0.500 0.000 1
Ru1 Ru 0.500 0.500 0.500 1
# Formation energy: 31.8 kcal/mol of atoms

=====

6.
# TaFeAg2Cl | Alexandria | PBE | optimized geometry
data_TaFeAg2Cl
_cell_length_a 4.775
_cell_length_b 4.775
_cell_length_c 4.544
_cell_angle_alpha 90.00
_cell_angle_beta 90.00
_cell_angle_gamma 90.00
_space_group_name_H-M_alt 'P 4/m m m'
_space_group_IT_number 123
_space_group_name_Hall '-P 4 2'
loop_
_atom_site_label
_atom_site_type_symbol
_atom_site_fract_x
_atom_site_fract_y
_atom_site_fract_z
_atom_site_occupancy
Ta1 Ta 0.000 0.000 0.000 1
Fe1 Fe 0.500 0.500 0.000 1
Ag1 Ag 0.000 0.500 0.500 1
Cl1 Cl 0.000 0.000 0.500 1
# Energy relative to the elements, uncorrected: 1.363 eV per atom

=====

7.
# TbY2In3Hg6 | Alexandria | PBE | optimized geometry
data_TbY2In3Hg6
_cell_length_a 4.225
_cell_length_b 4.225
_cell_length_c 20.378
_cell_angle_alpha 90.00
_cell_angle_beta 90.00
_cell_angle_gamma 90.00
_space_group_name_H-M_alt 'P 4/m m m'
_space_group_IT_number 123
_space_group_name_Hall '-P 4 2'
loop_
_atom_site_label
_atom_site_type_symbol
_atom_site_fract_x
_atom_site_fract_y
_atom_site_fract_z
_atom_site_occupancy
Tb1 Tb 0.000 0.000 0.000 1
Y1 Y 0.000 0.000 0.285 1
In1 In 0.500 0.500 0.223 1
In2 In 0.500 0.500 0.500 1
Hg1 Hg 0.000 0.500 0.113 1
Hg2 Hg 0.500 0.500 0.364 1
# Formation energy: -1.5 kcal/mol of atoms

=====

8.
# Tm4TcAu3 | Alexandria | PBE | optimized geometry
data_Tm4TcAu3
_cell_length_a 3.510
_cell_length_b 3.510
_cell_length_c 14.028
_cell_angle_alpha 90.00
_cell_angle_beta 90.00
_cell_angle_gamma 90.00
_space_group_name_H-M_alt 'P 4/m m m'
_space_group_IT_number 123
_space_group_name_Hall '-P 4 2'
loop_
_atom_site_label
_atom_site_type_symbol
_atom_site_fract_x
_atom_site_fract_y
_atom_site_fract_z
_atom_site_occupancy
Tm1 Tm 0.000 0.000 0.114 1
Tm2 Tm 0.000 0.000 0.371 1
Tc1 Tc 0.500 0.500 0.000 1
Au1 Au 0.500 0.500 0.245 1
Au2 Au 0.500 0.500 0.500 1
# Formation energy: -15.6 kcal/mol of atoms

=====

9.
# Ti2Ga2Fe | Alexandria | PBE | optimized geometry
data_Ti2Ga2Fe
_cell_length_a 4.108
_cell_length_b 4.108
_cell_length_c 18.298
_cell_angle_alpha 90.00
_cell_angle_beta 90.00
_cell_angle_gamma 90.00
_space_group_name_H-M_alt 'I 41/a m d'
_space_group_IT_number 141
loop_
_space_group_symop_operation_xyz
'x,y,z'
'-x,-y,-z'
'-y+1/4,x+3/4,z+1/4'
'y+1/4,-x+3/4,-z+1/4'
'-x+1/2,-y,z+1/2'
'x+1/2,y,-z+1/2'
'y+1/4,-x+1/4,z+3/4'
'-y+1/4,x+1/4,-z+3/4'
'x,-y,-z'
'-x,y,z'
'-y+1/4,-x+1/4,-z+3/4'
'y+1/4,x+1/4,z+3/4'
'-x+1/2,y,-z+1/2'
'x+1/2,-y,z+1/2'
'y+1/4,x+3/4,-z+1/4'
'-y+1/4,-x+3/4,z+1/4'
'x+1/2,y+1/2,z+1/2'
'-x+1/2,-y+1/2,-z+1/2'
'-y+3/4,x+1/4,z+3/4'
'y+3/4,-x+1/4,-z+3/4'
'-x,-y+1/2,z'
'x,y+1/2,-z'
'y+3/4,-x+3/4,z+1/4'
'-y+3/4,x+3/4,-z+1/4'
'x+1/2,-y+1/2,-z+1/2'
'-x+1/2,y+1/2,z+1/2'
'-y+3/4,-x+3/4,-z+1/4'
'y+3/4,x+3/4,z+1/4'
'-x,y+1/2,-z'
'x,-y+1/2,z'
'y+3/4,x+1/4,-z+3/4'
'-y+3/4,-x+1/4,z+3/4'
loop_
_atom_site_label
_atom_site_type_symbol
_atom_site_fract_x
_atom_site_fract_y
_atom_site_fract_z
_atom_site_occupancy
Ti1 Ti 0.000 0.250 0.054 1
Ga1 Ga 0.000 0.250 0.200 1
Fe1 Fe 0.000 0.250 0.875 1
# Formation energy: -9.3 kcal/mol of atoms
# Energy above the lowest structure with this stoichiometry: 0.0 meV/atom

=====

10.
# Nb2InTc | Alexandria | PBE | optimized geometry
data_Nb2InTc
_cell_length_a 7.577
_cell_length_b 7.577
_cell_length_c 5.548
_cell_angle_alpha 90.00
_cell_angle_beta 90.00
_cell_angle_gamma 90.00
_space_group_name_H-M_alt 'I -4 2 d'
_space_group_IT_number 122
_space_group_name_Hall 'I -4 2bw'
loop_
_atom_site_label
_atom_site_type_symbol
_atom_site_fract_x
_atom_site_fract_y
_atom_site_fract_z
_atom_site_occupancy
Nb1 Nb 0.199 0.750 0.125 1
In1 In 0.000 0.000 0.500 1
Tc1 Tc 0.000 0.000 0.000 1
# Formation energy: 10.0 kcal/mol of atoms
# Energy above the lowest structure with this stoichiometry: 476.8 meV/atom

=====

11.
# Ca2MoPd2 | Alexandria | PBE | optimized geometry
data_Ca2MoPd2
_cell_length_a 3.597
_cell_length_b 3.597
_cell_length_c 18.225
_cell_angle_alpha 90.00
_cell_angle_beta 90.00
_cell_angle_gamma 90.00
_space_group_name_H-M_alt 'I 4/m m m'
_space_group_IT_number 139
_space_group_name_Hall '-I 4 2'
loop_
_atom_site_label
_atom_site_type_symbol
_atom_site_fract_x
_atom_site_fract_y
_atom_site_fract_z
_atom_site_occupancy
Ca1 Ca 0.000 0.000 0.115 1
Mo1 Mo 0.000 0.000 0.500 1
Pd1 Pd 0.000 0.500 0.250 1
# Formation energy: 10.2 kcal/mol of atoms
# Energy above the lowest structure with this stoichiometry: 202.3 meV/atom

=====

12.
# RbPuCoBr6 | Alexandria | PBE | optimized geometry
data_RbPuCoBr6
_cell_length_a 7.0201
_cell_length_b 7.0201
_cell_length_c 15.7660
_cell_angle_alpha 90.00
_cell_angle_beta 90.00
_cell_angle_gamma 120.00
_space_group_name_H-M_alt 'P -3 1 c'
_space_group_IT_number 163
_space_group_name_Hall '-P 3 2c'
loop_
_atom_site_label
_atom_site_type_symbol
_atom_site_fract_x
_atom_site_fract_y
_atom_site_fract_z
_atom_site_occupancy
Rb1 Rb 0.0000 0.0000 0.0000 1
Pu1 Pu 0.3333 0.6667 0.2500 1
Co1 Co 0.3333 0.6667 0.7500 1
Br1 Br 0.0252 0.3729 0.6519 1
# Energy relative to the elements, uncorrected: -1.156 eV per atom